The following is a DFT calculation (PBE) of a relaxed structure of PuPaCo4.

The structure in CIF format:
```
data_PuPaCo4
_chemical_formula_sum 'Pu4 Pa4 Co16'
_symmetry_space_group_name_H-M 'F -4 3 m'
_symmetry_Int_Tables_number 216
_symmetry_space_group_name_Hall 'F -4 2 3'
_cell_length_a 7.011
_cell_length_b 7.011
_cell_length_c 7.011
_cell_angle_alpha 90.00
_cell_angle_beta 90.00
_cell_angle_gamma 90.00
loop_
_atom_site_label
_atom_site_type_symbol
_atom_site_fract_x
_atom_site_fract_y
_atom_site_fract_z
_atom_site_occupancy
Pu1 Pu 0.000 0.000 0.000 1
Pa1 Pa 0.250 0.250 0.750 1
Co1 Co 0.126 0.126 0.374 1
```

magnetic moment: 0.643 μB per atom
DFT total energy: -8.96 eV/atom